DFT (GGA+U) results for a geometry-optimized Li2CrO3 structure.

Summary:
The energy above the lowest structure with this stoichiometry is 0.036 eV/atom. The total DFT energy (no corrections) is -6.2412 eV/atom.

a = 2.9215 Å, b = 5.9399 Å, c = 6.4617 Å
α = 75.99°, β = 77.13°, γ = 89.34°
Last column: nearest neighbours and their distance in Å.
Fractional coordinates of all 12 atoms:
Li: 0.0000 0.0000 0.0000  6 O 2.08-2.10
Li: 0.0000 0.5000 0.0000  6 O 2.06-2.12
Li: 0.3388 0.1653 0.3190  6 O 2.09-2.23
Li: 0.6612 0.8347 0.6810  6 O 2.09-2.23
Cr: 0.3302 0.6776 0.3168  3 O 1.80-2.00
Cr: 0.6698 0.3224 0.6832  3 O 1.80-2.00
O: 0.1595 0.1116 0.6603  2 Cr 1.89-2.01, 2 Li 2.08-2.09
O: 0.1839 0.5617 0.6538  3 Cr 2.00-2.06, 3 Li 2.12-2.23
O: 0.4924 0.7428 0.0232  1 Cr 1.80
O: 0.5076 0.2572 0.9768  1 Cr 1.80
O: 0.8161 0.4383 0.3462  3 Cr 2.00-2.06, 3 Li 2.12-2.23
O: 0.8405 0.8884 0.3397  2 Cr 1.89-2.01, 2 Li 2.08-2.09